Entry 1:
Pr8Ni3SeBr4 | PBE | optimized geometry

Calculated values
Calculated volume (A^3/atom): 28.524
Raw formation energy (kJ per mole of atoms): -92.7
Mass density (g cm⁻³): 6.19
M_tot (μB/atom): 0.000

Cell lengths 8.338, 8.979, 8.340 Å; angles 117.68, 119.99, 90.00 degrees
Atoms (fractional coordinates):
Pr 0.243 0.708 0.965
Pr 0.243 0.708 0.485
Pr 0.270 0.309 0.539
Pr 0.722 0.708 0.965
Pr 0.278 0.292 0.035
Pr 0.730 0.691 0.461
Pr 0.757 0.292 0.515
Pr 0.757 0.292 0.035
Ni 0.500 0.500 0.000
Ni 0.500 0.500 0.500
Ni 0.000 0.500 0.500
Se 0.000 0.500 0.000
Br 0.500 0.000 0.000
Br 0.500 0.000 0.500
Br 0.000 0.000 0.000
Br 0.000 0.000 0.500


Entry 2:
CsRbSr | PBE | optimized geometry

Calculated values
Calculated volume (A^3/atom): 80.098
Mass density (g cm⁻³): 2.11
M_tot (μB/atom): 0.000
Relative energy among the computed polymorphs (eV/f.u.): 0.11

Cell lengths 4.638, 4.638, 11.644 Å; angles 101.49, 101.49, 90.00 degrees
Atoms (fractional coordinates):
Cs 0.991 0.991 0.983
Sr 0.330 0.330 0.660
Rb 0.679 0.679 0.357